(1)
An optimized crystal structure of Na3PdF. Source: Alexandria via LeMat-Bulk, functional PBE.

Summary:
V ... 97 Å³/cell
Formation energy from raw total energies ... -1030.0 meV/atom
Energy above the most stable polymorph in this dataset ... 0.0 meV per atom

abc: 4.594 4.594 4.594
angles: 90.00 90.00 90.00
Space group Pm-3m (No. 221)
Symmetry-distinct sites (fractional):
1 Na 0.000 0.000 0.500 [3 per cell]
2 Pd 0.500 0.500 0.500 [1 per cell]
3 F 0.000 0.000 0.000 [1 per cell]

(2)
An optimized crystal structure of Na2Pd3F8. Source: Alexandria via LeMat-Bulk, functional PBE.

Summary:
V ... 404 Å³/cell
Formation energy from raw total energies ... -1596.4 meV/atom

abc: 11.392 6.652 5.638
angles: 90.00 108.82 90.00
Space group C2/m (No. 12)
Symmetry-distinct sites (fractional):
1 Na 0.218 0.000 0.138 [4 per cell]
2 Pd 0.000 0.244 0.500 [4 per cell]
3 Pd 0.000 0.500 0.000 [2 per cell]
4 F 0.106 0.000 0.411 [4 per cell]
5 F 0.108 0.500 0.411 [4 per cell]
6 F 0.117 0.276 0.896 [8 per cell]

(3)
An optimized crystal structure of NaPd3F9. Source: Alexandria via LeMat-Bulk, functional PBE.

Summary:
V ... 790 Å³/cell
Formation energy from raw total energies ... -1422.0 meV/atom

abc: 14.463 8.172 6.816
angles: 90.00 101.40 90.00
Space group Cc (No. 9)
Symmetry-distinct sites (fractional):
1 Na 0.000 0.063 0.000 [4 per cell]
2 Pd 0.191 0.147 0.402 [4 per cell]
3 Pd 0.260 0.435 0.827 [4 per cell]
4 Pd 0.403 0.089 0.103 [4 per cell]
5 F 0.053 0.147 0.317 [4 per cell]
6 F 0.166 0.330 0.618 [4 per cell]
7 F 0.175 0.036 0.083 [4 per cell]
8 F 0.207 0.344 0.224 [4 per cell]
9 F 0.315 0.210 0.883 [4 per cell]
10 F 0.335 0.119 0.481 [4 per cell]
11 F 0.347 0.459 0.546 [4 per cell]
12 F 0.471 0.286 0.211 [4 per cell]
13 F 0.474 0.034 0.829 [4 per cell]

(4)
An optimized crystal structure of Na2PdF5. Source: Alexandria via LeMat-Bulk, functional PBE.

Summary:
V ... 126 Å³/cell
Formation energy from raw total energies ... -2078.6 meV/atom
Energy above the most stable polymorph in this dataset ... 0.0 meV per atom

abc: 4.415 5.723 5.962
angles: 69.98 68.34 67.32
Space group P-1 (No. 2)
Symmetry-distinct sites (fractional):
1 Na 0.204 0.344 0.250 [2 per cell]
2 Pd 0.000 0.000 0.000 [1 per cell]
3 F 0.046 0.240 0.668 [2 per cell]
4 F 0.228 0.686 0.858 [2 per cell]
5 F 0.500 0.000 0.000 [1 per cell]

What is the formation energy from raw total energies in the second record?
-1596.4 meV/atom

What did the fourth record say?
An optimized crystal structure of Na2PdF5. Source: Alexandria via LeMat-Bulk, functional PBE.

Summary:
V ... 126 Å³/cell
Formation energy from raw total energies ... -2078.6 meV/atom
Energy above the most stable polymorph in this dataset ... 0.0 meV per atom

abc: 4.415 5.723 5.962
angles: 69.98 68.34 67.32
Space group P-1 (No. 2)
Symmetry-distinct sites (fractional):
1 Na 0.204 0.344 0.250 [2 per cell]
2 Pd 0.000 0.000 0.000 [1 per cell]
3 F 0.046 0.240 0.668 [2 per cell]
4 F 0.228 0.686 0.858 [2 per cell]
5 F 0.500 0.000 0.000 [1 per cell]